No. 1
A relaxed structure of Dy2Lu5Te2Pd2, computed with PBE.

Cell: 9.2902 9.2902 9.2902 Å, 155.71 67.31 118.31°
Last column: nearest neighbours and their distance in Å.
Fractional positions:
Lu 0.9444 0.6265 0.3178  2 Pd 2.81, 1 Te 3.12
Lu 0.0009 0.0009 0.0000  3 Te 3.20-3.26
Lu 0.5474 0.4163 0.1311  2 Pd 2.82, 1 Te 3.08
Lu 0.2852 0.4163 0.8689  2 Pd 2.82, 1 Te 3.08
Lu 0.3087 0.6265 0.6822  2 Pd 2.81, 1 Te 3.12
Te 0.6591 0.6591 0.0000  3 Lu 3.08-3.26, 4 Dy 3.13
Te 0.2671 0.7671 0.5000  8 Lu 3.12-3.20
Pd 0.6964 0.9348 0.7616  4 Lu 2.81-2.82, 2 Dy 2.92
Pd 0.1731 0.9348 0.2384  4 Lu 2.81-2.82, 2 Dy 2.92
Dy 0.9094 0.2656 0.6439  2 Pd 2.92, 2 Te 3.13
Dy 0.6217 0.2656 0.3561  2 Pd 2.92, 2 Te 3.13

Values from the calculation:
V: 287.9 Å³ per cell
total magnetization: 0.002 μB/atom
space-group type: No. 44
uncorrected energy: -57.73 eV per cell

---

No. 2
A relaxed structure of Dy5Lu2Te2Pd2, computed with PBE.

Cell: 9.3940 9.3940 9.3940 Å, 155.92 67.21 118.32°
Last column: nearest neighbours and their distance in Å.
Fractional positions:
Dy 0.5005 0.0005 0.5000  3 Te 3.21-3.22
Dy 0.4432 0.6262 0.8169  3 Pd 2.86-3.18, 1 Te 3.16
Dy 0.8093 0.6262 0.1831  3 Pd 2.86-3.18, 1 Te 3.16
Dy 0.7906 0.4195 0.3710  2 Pd 2.91, 3 Te 3.12-3.18
Dy 0.0485 0.4195 0.6290  2 Pd 2.91, 3 Te 3.12-3.18
Pd 0.1931 0.9271 0.2660  5 Dy 2.86-3.18, 2 Lu 2.87
Pd 0.6612 0.9271 0.7340  5 Dy 2.86-3.18, 2 Lu 2.87
Te 0.7650 0.7650 0.0000  8 Dy 3.16-3.21
Te 0.1661 0.6661 0.5000  3 Dy 3.12-3.22, 4 Lu 3.13
Lu 0.4111 0.2680 0.1431  2 Pd 2.87, 2 Te 3.13
Lu 0.1249 0.2680 0.8569  2 Pd 2.87, 2 Te 3.13

Values from the calculation:
V: 295.3 Å³ per cell
total magnetization: 0.001 μB/atom
space-group type: No. 44
uncorrected energy: -57.93 eV per cell

---

No. 3
A relaxed structure of Dy2Lu5Te2Pd2, computed with PBE.

Cell: 9.2961 9.2961 9.2961 Å, 155.84 67.45 118.11°
Last column: nearest neighbours and their distance in Å.
Fractional positions:
Te 0.2310 0.2310 0.0000  2 Dy 3.14, 6 Lu 3.14-3.22
Te 0.8394 0.3394 0.5000  7 Lu 3.07-3.25
Dy 0.1900 0.3728 0.8172  3 Pd 2.85-3.14, 1 Te 3.14
Dy 0.5556 0.3728 0.1828  3 Pd 2.85-3.14, 1 Te 3.14
Pd 0.8086 0.0718 0.7369  4 Lu 2.83-2.87, 3 Dy 2.85-3.14
Pd 0.3349 0.0718 0.2631  4 Lu 2.83-2.87, 3 Dy 2.85-3.14
Lu 0.5892 0.7318 0.8575  2 Pd 2.87, 2 Te 3.11
Lu 0.2123 0.5818 0.6305  2 Pd 2.83, 3 Te 3.07-3.14
Lu 0.8743 0.7318 0.1425  2 Pd 2.87, 2 Te 3.11
Lu 0.4998 0.9998 0.5000  3 Te 3.22-3.25
Lu 0.9514 0.5818 0.3695  2 Pd 2.83, 3 Te 3.07-3.14

Values from the calculation:
V: 287.6 Å³ per cell
total magnetization: 0.000 μB/atom
space-group type: No. 44
uncorrected energy: -57.51 eV per cell

---

No. 4
A relaxed structure of Dy5Lu2Te2Pd2, computed with PBE.

Cell: 9.3706 9.3706 9.3706 Å, 155.74 66.90 118.72°
Last column: nearest neighbours and their distance in Å.
Fractional positions:
Dy 0.3794 0.7357 0.6437  2 Pd 2.95, 2 Te 3.15
Dy 0.6912 0.3730 0.3182  3 Pd 2.86-3.16, 1 Te 3.16
Dy 0.0547 0.3730 0.6818  3 Pd 2.86-3.16, 1 Te 3.16
Dy 0.9974 0.9974 0.0000  3 Te 3.23-3.28
Dy 0.0920 0.7357 0.3563  2 Pd 2.95, 2 Te 3.15
Pd 0.3084 0.0685 0.2399  2 Lu 2.83, 5 Dy 2.86-3.16
Pd 0.8286 0.0685 0.7601  2 Lu 2.83, 5 Dy 2.86-3.16
Lu 0.7132 0.5826 0.1306  2 Pd 2.83, 3 Te 3.08-3.16
Lu 0.4520 0.5826 0.8694  2 Pd 2.83, 3 Te 3.08-3.16
Te 0.7289 0.2289 0.5000  4 Dy 3.16-3.23, 4 Lu 3.16
Te 0.3408 0.3408 0.0000  2 Lu 3.08, 5 Dy 3.15-3.28

Values from the calculation:
V: 294.1 Å³ per cell
total magnetization: 0.000 μB/atom
space-group type: No. 44
uncorrected energy: -57.98 eV per cell

---

No. 5
A relaxed structure of Dy3Y2Lu2Te2Pd2, computed with PBE.

Cell: 9.3755 9.3755 9.3755 Å, 155.70 67.15 118.48°
Last column: nearest neighbours and their distance in Å.
Fractional positions:
Y 0.0949 0.7396 0.3554  2 Pd 2.96, 2 Te 3.15
Y 0.3842 0.7396 0.6446  2 Pd 2.96, 2 Te 3.15
Pd 0.1750 0.4125 0.7625  2 Lu 2.81, 2 Dy 2.87, 2 Y 2.96
Pd 0.6499 0.4125 0.2375  2 Lu 2.81, 2 Dy 2.87, 2 Y 2.96
Dy 0.0220 0.8926 0.1294  2 Pd 2.87, 3 Te 3.12-3.19
Dy 0.7632 0.8926 0.8706  2 Pd 2.87, 3 Te 3.12-3.19
Dy 0.4768 0.4768 0.0000  3 Te 3.19-3.23
Lu 0.7829 0.1006 0.6823  2 Pd 2.81, 1 Te 3.14
Lu 0.4183 0.1006 0.3177  2 Pd 2.81, 1 Te 3.14
Te 0.1402 0.1402 0.0000  3 Dy 3.12-3.23, 4 Y 3.15
Te 0.7388 0.2388 0.5000  2 Lu 3.14, 6 Dy 3.19

Values from the calculation:
V: 295.7 Å³ per cell
total magnetization: 0.001 μB/atom
space-group type: No. 44
uncorrected energy: -61.92 eV per cell

---

No. 6
A relaxed structure of Dy2Y3Lu2Te2Pd2, computed with PBE.

Cell: 9.3872 9.3872 9.3872 Å, 155.77 66.97 118.64°
Last column: nearest neighbours and their distance in Å.
Fractional positions:
Y 0.4781 0.4781 0.0000  3 Te 3.18-3.23
Y 0.0954 0.7397 0.3557  2 Pd 2.95, 2 Te 3.14
Y 0.3839 0.7397 0.6443  2 Pd 2.95, 2 Te 3.14
Te 0.1408 0.1408 0.0000  2 Dy 3.12, 5 Y 3.14-3.23
Te 0.7392 0.2392 0.5000  2 Lu 3.16, 4 Dy 3.18, 2 Y 3.18
Dy 0.0216 0.8925 0.1290  2 Pd 2.88, 3 Te 3.12-3.18
Dy 0.7635 0.8925 0.8710  2 Pd 2.88, 3 Te 3.12-3.18
Pd 0.1736 0.4113 0.7623  2 Lu 2.81, 2 Dy 2.88, 2 Y 2.95
Pd 0.6489 0.4113 0.2377  2 Lu 2.81, 2 Dy 2.88, 2 Y 2.95
Lu 0.4178 0.1006 0.3172  2 Pd 2.81
Lu 0.7834 0.1006 0.6828  2 Pd 2.81

Values from the calculation:
V: 295.5 Å³ per cell
total magnetization: 0.001 μB/atom
space-group type: No. 44
uncorrected energy: -63.84 eV per cell